(1)
# Hf2NbTc PBE-GGA relaxed
# - Calculated volume: 18.55 Å³/atom
# - Calculated formation energy: -0.5 eV per formula unit
# - Symmetry: Fm-3m, No. 225
# - Crystal system: cubic
data_Hf2NbTc
_chemical_formula_sum 'Hf2 Nb1 Tc1'
_cell_length_a 4.7168
_cell_length_b 4.7168
_cell_length_c 4.7168
_cell_angle_alpha 60.00
_cell_angle_beta 60.00
_cell_angle_gamma 60.00
_space_group_name_H-M_alt 'P 1'
_space_group_IT_number 1
loop_
_space_group_symop_operation_xyz
'x,y,z'
loop_
_atom_site_label
_atom_site_type_symbol
_atom_site_fract_x
_atom_site_fract_y
_atom_site_fract_z
_atom_site_occupancy
Hf1 Hf 0.2500 0.2500 0.2500 1
Hf2 Hf 0.7500 0.7500 0.7500 1
Nb1 Nb 0.0000 0.0000 0.0000 1
Tc1 Tc 0.5000 0.5000 0.5000 1

=====

(2)
# CaZrGa2 PBE-GGA relaxed
# - Calculated volume: 23.93 Å³/atom
# - Calculated formation energy: 0.0 eV per formula unit
# - Symmetry: I-42d, No. 122
# - Crystal system: tetragonal
data_CaZrGa2
_chemical_formula_sum 'Ca2 Zr2 Ga4'
_cell_length_a 6.3232
_cell_length_b 6.3232
_cell_length_c 6.3232
_cell_angle_alpha 105.46
_cell_angle_beta 105.46
_cell_angle_gamma 117.84
_space_group_name_H-M_alt 'P 1'
_space_group_IT_number 1
loop_
_space_group_symop_operation_xyz
'x,y,z'
loop_
_atom_site_label
_atom_site_type_symbol
_atom_site_fract_x
_atom_site_fract_y
_atom_site_fract_z
_atom_site_occupancy
Ca1 Ca 0.0000 0.0000 0.0000 1
Ca2 Ca 0.7500 0.2500 0.5000 1
Zr1 Zr 0.2500 0.7500 0.5000 1
Zr2 Zr 0.5000 0.5000 0.0000 1
Ga1 Ga 0.1423 0.6250 0.0173 1
Ga2 Ga 0.3750 0.3923 0.5173 1
Ga3 Ga 0.6077 0.1250 0.9827 1
Ga4 Ga 0.8750 0.8577 0.4827 1

=====

(3)
# CsNp2F11 PBE-GGA relaxed
# - Calculated volume: 23.83 Å³/atom
# - Uncorrected formation energy: -45.9 eV per formula unit
# - Symmetry: Ibam, No. 72
# - Crystal system: orthorhombic
data_CsNp2F11
_chemical_formula_sum 'Cs2 Np4 F22'
_cell_length_a 9.6614
_cell_length_b 9.6614
_cell_length_c 9.6614
_cell_angle_alpha 118.28
_cell_angle_beta 114.47
_cell_angle_gamma 96.43
_space_group_name_H-M_alt 'P 1'
_space_group_IT_number 1
loop_
_space_group_symop_operation_xyz
'x,y,z'
loop_
_atom_site_label
_atom_site_type_symbol
_atom_site_fract_x
_atom_site_fract_y
_atom_site_fract_z
_atom_site_occupancy
Cs1 Cs 0.2500 0.2500 0.0000 1
Cs2 Cs 0.7500 0.7500 0.0000 1
Np1 Np 0.1630 0.6484 0.8113 1
Np2 Np 0.3370 0.1484 0.4854 1
Np3 Np 0.6630 0.8516 0.5146 1
Np4 Np 0.8370 0.3516 0.1887 1
F1 F 0.0000 0.5000 0.5000 1
F2 F 0.0420 0.3561 0.1712 1
F3 F 0.1282 0.9296 0.2859 1
F4 F 0.1437 0.4296 0.8014 1
F5 F 0.1849 0.8708 0.8288 1
F6 F 0.1899 0.2857 0.4756 1
F7 F 0.3101 0.7857 0.0958 1
F8 F 0.3151 0.1439 0.6859 1
F9 F 0.3563 0.1576 0.2859 1
F10 F 0.3718 0.6576 0.8014 1
F11 F 0.4580 0.6292 0.3141 1
F12 F 0.5000 0.0000 0.5000 1
F13 F 0.5420 0.3708 0.6859 1
F14 F 0.6282 0.3424 0.1986 1
F15 F 0.6437 0.8424 0.7141 1
F16 F 0.6849 0.8561 0.3141 1
F17 F 0.6899 0.2143 0.9042 1
F18 F 0.8101 0.7143 0.5244 1
F19 F 0.8151 0.1292 0.1712 1
F20 F 0.8563 0.5704 0.1986 1
F21 F 0.8718 0.0704 0.7141 1
F22 F 0.9580 0.6439 0.8288 1

=====

(4)
# HfZr2Ta PBE-GGA relaxed
# - Calculated volume: 21.70 Å³/atom
# - Calculated formation energy: 0.6 eV per formula unit
# - Symmetry: P4/mmm, No. 123
# - Crystal system: tetragonal
data_HfZr2Ta
_chemical_formula_sum 'Hf1 Zr2 Ta1'
_cell_length_a 4.3859
_cell_length_b 4.3859
_cell_length_c 4.5126
_cell_angle_alpha 90.00
_cell_angle_beta 90.00
_cell_angle_gamma 90.00
_space_group_name_H-M_alt 'P 1'
_space_group_IT_number 1
loop_
_space_group_symop_operation_xyz
'x,y,z'
loop_
_atom_site_label
_atom_site_type_symbol
_atom_site_fract_x
_atom_site_fract_y
_atom_site_fract_z
_atom_site_occupancy
Hf1 Hf 0.0000 0.0000 0.0000 1
Zr1 Zr 0.0000 0.5000 0.5000 1
Zr2 Zr 0.5000 0.0000 0.5000 1
Ta1 Ta 0.5000 0.5000 0.0000 1

=====

(5)
# Na4AsSe4 PBE-GGA relaxed
# - Calculated volume: 28.30 Å³/atom
# - Uncorrected formation energy: -5.2 eV per formula unit
# - Symmetry: I4/m, No. 87
# - Crystal system: tetragonal
data_Na4AsSe4
_chemical_formula_sum 'Na4 As1 Se4'
_cell_length_a 7.2165
_cell_length_b 7.2165
_cell_length_c 7.2165
_cell_angle_alpha 99.46
_cell_angle_beta 99.46
_cell_angle_gamma 132.15
_space_group_name_H-M_alt 'P 1'
_space_group_IT_number 1
loop_
_space_group_symop_operation_xyz
'x,y,z'
loop_
_atom_site_label
_atom_site_type_symbol
_atom_site_fract_x
_atom_site_fract_y
_atom_site_fract_z
_atom_site_occupancy
Na1 Na 0.1020 0.3095 0.4115 1
Na2 Na 0.3095 0.8980 0.2074 1
Na3 Na 0.6905 0.1020 0.7926 1
Na4 Na 0.8980 0.6905 0.5885 1
As1 As 0.5000 0.5000 0.0000 1
Se1 Se 0.2385 0.5865 0.8249 1
Se2 Se 0.4135 0.2385 0.6520 1
Se3 Se 0.5865 0.7615 0.3480 1
Se4 Se 0.7615 0.4135 0.1751 1

=====

(6)
# Pm3Ho2Sc8 PBE-GGA relaxed
# - Calculated volume: 28.13 Å³/atom
# - Calculated formation energy: 2.1 eV per formula unit
# - Symmetry: C2/m, No. 12
# - Crystal system: monoclinic
data_Pm3Ho2Sc8
_chemical_formula_sum 'Pm3 Ho2 Sc8'
_cell_length_a 8.3338
_cell_length_b 8.3338
_cell_length_c 5.7782
_cell_angle_alpha 107.10
_cell_angle_beta 107.10
_cell_angle_gamma 81.46
_space_group_name_H-M_alt 'P 1'
_space_group_IT_number 1
loop_
_space_group_symop_operation_xyz
'x,y,z'
loop_
_atom_site_label
_atom_site_type_symbol
_atom_site_fract_x
_atom_site_fract_y
_atom_site_fract_z
_atom_site_occupancy
Pm1 Pm 0.0000 0.0000 0.0000 1
Pm2 Pm 0.2420 0.7580 0.5000 1
Pm3 Pm 0.7580 0.2420 0.5000 1
Ho1 Ho 0.2985 0.2985 0.1569 1
Ho2 Ho 0.7015 0.7015 0.8431 1
Sc1 Sc 0.0779 0.5610 0.8120 1
Sc2 Sc 0.1666 0.1666 0.5584 1
Sc3 Sc 0.4352 0.4352 0.7363 1
Sc4 Sc 0.4390 0.9221 0.1880 1
Sc5 Sc 0.5610 0.0779 0.8120 1
Sc6 Sc 0.5648 0.5648 0.2637 1
Sc7 Sc 0.8334 0.8334 0.4416 1
Sc8 Sc 0.9221 0.4390 0.1880 1

=====

(7)
# SrEuNi PBE-GGA relaxed
# - Calculated volume: 31.25 Å³/atom
# - Calculated formation energy: 0.2 eV per formula unit
# - Symmetry: F-43m, No. 216
# - Crystal system: cubic
data_SrEuNi
_chemical_formula_sum 'Sr1 Eu1 Ni1'
_cell_length_a 5.0990
_cell_length_b 5.0990
_cell_length_c 5.0990
_cell_angle_alpha 60.00
_cell_angle_beta 60.00
_cell_angle_gamma 60.00
_space_group_name_H-M_alt 'P 1'
_space_group_IT_number 1
loop_
_space_group_symop_operation_xyz
'x,y,z'
loop_
_atom_site_label
_atom_site_type_symbol
_atom_site_fract_x
_atom_site_fract_y
_atom_site_fract_z
_atom_site_occupancy
Sr1 Sr 0.0000 0.0000 0.0000 1
Eu1 Eu 0.5000 0.5000 0.5000 1
Ni1 Ni 0.2500 0.2500 0.2500 1

=====

(8)
# Np2Ag2S7 PBE-GGA relaxed
# - Calculated volume: 22.22 Å³/atom
# - Uncorrected formation energy: -6.0 eV per formula unit
# - Symmetry: Imm2, No. 44
# - Crystal system: orthorhombic
data_Np2Ag2S7
_chemical_formula_sum 'Np2 Ag2 S7'
_cell_length_a 8.5147
_cell_length_b 8.5147
_cell_length_c 8.5147
_cell_angle_alpha 152.10
_cell_angle_beta 66.21
_cell_angle_gamma 121.31
_space_group_name_H-M_alt 'P 1'
_space_group_IT_number 1
loop_
_space_group_symop_operation_xyz
'x,y,z'
loop_
_atom_site_label
_atom_site_type_symbol
_atom_site_fract_x
_atom_site_fract_y
_atom_site_fract_z
_atom_site_occupancy
Np1 Np 0.0000 0.0000 0.0000 1
Np2 Np 0.5100 0.0100 0.5000 1
Ag1 Ag 0.4480 0.7111 0.7368 1
Ag2 Ag 0.9743 0.7111 0.2632 1
S1 S 0.1999 0.6999 0.5000 1
S2 S 0.2095 0.0225 0.1870 1
S3 S 0.3852 0.4983 0.8869 1
S4 S 0.6114 0.4983 0.1131 1
S5 S 0.7454 0.3187 0.4268 1
S6 S 0.8354 0.0225 0.8130 1
S7 S 0.8919 0.3187 0.5732 1